[1]
A plane-wave DFT calculation with PBE-GGA was carried out for a geometry-optimized NaGaCuNi structure.

a = 2.6972 Å, b = 4.4038 Å, c = 5.7518 Å
α = 97.19°, β = 90.14°, γ = 107.42°
Last column: nearest neighbours and their distance in Å.
Atoms (fractional coordinates):
Na 0.0000 0.0000 0.0000  2 Na 2.70, 3 Cu 2.76-2.95, 1 Ga 2.94
Ga 0.7790 0.5438 0.3452  3 Ni 2.45-2.51, 2 Cu 2.52-2.53, 2 Ga 2.70
Cu 0.2385 0.4667 0.7050  3 Ni 2.50-2.72, 2 Ga 2.52-2.53, 2 Cu 2.70, 1 Na 2.76
Ni 0.5129 0.0128 0.4991  3 Ga 2.45-2.51, 3 Cu 2.50-2.72, 2 Ni 2.70

- Polymorph energy (0 for the lowest one): 0.469 eV per formula unit
- D(E_F): 1.5 states/eV/f.u.
- Total DFT energy (no corrections): -13.91 eV per cell

[2]
A plane-wave DFT calculation with PBE-GGA was carried out for a geometry-optimized Rb2LaTlF6 structure.

a = 6.7822 Å, b = 7.0254 Å, c = 11.7221 Å
α = 90.00°, β = 124.27°, γ = 90.00°
Last column: nearest neighbours and their distance in Å.
Atoms (fractional coordinates):
Rb 0.2266 0.0494 0.2442  5 F 2.83-3.09
Rb 0.2266 0.4506 0.7442  5 F 2.83-3.09
Rb 0.7734 0.5494 0.2558  5 F 2.83-3.09
Rb 0.7734 0.9506 0.7558  5 F 2.83-3.09
La 0.5000 0.0000 0.0000  6 F 2.33-2.34
La 0.5000 0.5000 0.5000  6 F 2.33-2.34
Tl 0.0000 0.0000 0.5000  6 F 2.74-2.84
Tl 0.0000 0.5000 0.0000  6 F 2.74-2.84
F 0.1710 0.1800 0.9496  1 La 2.33
F 0.1710 0.3200 0.4496  1 La 2.33
F 0.2504 0.7325 0.9247  1 La 2.34
F 0.2504 0.7675 0.4247  1 La 2.34
F 0.3941 0.0631 0.7762  1 La 2.34
F 0.3941 0.4369 0.2762  1 La 2.34
F 0.6059 0.5631 0.7238  1 La 2.34
F 0.6059 0.9369 0.2238  1 La 2.34
F 0.7496 0.2325 0.5753  1 La 2.34
F 0.7496 0.2675 0.0753  1 La 2.34
F 0.8290 0.6800 0.5504  1 La 2.33
F 0.8290 0.8200 0.0504  1 La 2.33

- Polymorph energy (0 for the lowest one): 0.000 eV per formula unit
- D(E_F): 0.0 states/eV/f.u.
- Formation energy without anion corrections: -3.1063 eV/atom
- Total DFT energy (no corrections): -103.04 eV per cell

[3]
A plane-wave DFT calculation with PBE-GGA was carried out for a geometry-optimized CoPd2Br6 structure.

a = 8.4651 Å, b = 8.4651 Å, c = 7.5500 Å
α = 94.19°, β = 94.19°, γ = 65.92°
Last column: nearest neighbours and their distance in Å.
Atoms (fractional coordinates):
Co 0.0908 0.9092 0.7500  4 Br 2.37-2.42
Co 0.9092 0.0908 0.2500  4 Br 2.37-2.42
Pd 0.0884 0.4139 0.7377  4 Br 2.47-2.50
Pd 0.4139 0.0884 0.2377  4 Br 2.47-2.50
Pd 0.5861 0.9116 0.7623  4 Br 2.47-2.50
Pd 0.9116 0.5861 0.2623  4 Br 2.47-2.50
Br 0.0037 0.8173 0.3901  1 Co 2.42, 1 Pd 2.50
Br 0.1822 0.6362 0.8768  1 Co 2.37, 1 Pd 2.47
Br 0.1827 0.9963 0.1099  1 Co 2.42, 1 Pd 2.50
Br 0.2292 0.4043 0.2853  2 Pd 2.49-2.50
Br 0.3638 0.8178 0.6232  1 Co 2.37, 1 Pd 2.47
Br 0.4043 0.2292 0.7853  2 Pd 2.49-2.50
Br 0.5957 0.7708 0.2147  2 Pd 2.49-2.50
Br 0.6362 0.1822 0.3768  1 Co 2.37, 1 Pd 2.47
Br 0.7708 0.5957 0.7147  2 Pd 2.49-2.50
Br 0.8173 0.0037 0.8901  1 Co 2.42, 1 Pd 2.50
Br 0.8178 0.3638 0.1232  1 Co 2.37, 1 Pd 2.47
Br 0.9963 0.1827 0.6099  1 Co 2.42, 1 Pd 2.50

- Polymorph energy (0 for the lowest one): 0.468 eV per formula unit
- D(E_F): 2.9 states/eV/f.u.
- Formation energy without anion corrections: -0.1824 eV/atom
- Total DFT energy (no corrections): -58.34 eV per cell

[4]
A plane-wave DFT calculation with PBE-GGA was carried out for a geometry-optimized MnCo structure.

a = 4.2108 Å, b = 4.2108 Å, c = 4.2108 Å
α = 130.72°, β = 130.72°, γ = 72.26°
Last column: nearest neighbours and their distance in Å.
Atoms (fractional coordinates):
Mn 0.3750 0.6250 0.7500  4 Mn 2.44, 8 Co 2.44-2.48
Mn 0.6250 0.3750 0.2500  4 Mn 2.44, 8 Co 2.44-2.48
Co 0.1250 0.8750 0.2500  8 Mn 2.44-2.48, 4 Co 2.44
Co 0.8750 0.1250 0.7500  8 Mn 2.44-2.48, 4 Co 2.44

- D(E_F): 2.9 states/eV/f.u.
- Total DFT energy (no corrections): -32.21 eV per cell

[5]
A plane-wave DFT calculation with PBE-GGA was carried out for a geometry-optimized Y6Ho12Zr structure.

a = 8.6103 Å, b = 8.6103 Å, c = 8.6103 Å
α = 98.57°, β = 98.57°, γ = 98.57°
Last column: nearest neighbours and their distance in Å.
Atoms (fractional coordinates):
Y 0.1662 0.5975 0.5975  3 Y 3.18-3.45, 1 Zr 3.30, 2 Ho 3.44
Y 0.4025 0.4025 0.8338  3 Y 3.18-3.45, 1 Zr 3.30, 2 Ho 3.44
Y 0.4025 0.8338 0.4025  3 Y 3.18-3.45, 1 Zr 3.30, 2 Ho 3.44
Y 0.5975 0.1662 0.5975  3 Y 3.18-3.45, 1 Zr 3.30, 2 Ho 3.44
Y 0.5975 0.5975 0.1662  3 Y 3.18-3.45, 1 Zr 3.30, 2 Ho 3.44
Y 0.8338 0.4025 0.4025  3 Y 3.18-3.45, 1 Zr 3.30, 2 Ho 3.44
Ho 0.0000 0.2550 0.7450  6 Ho 3.32-3.52, 4 Y 3.44-3.57
Ho 0.0000 0.7450 0.2550  6 Ho 3.32-3.52, 4 Y 3.44-3.57
Ho 0.1491 0.1491 0.4195  6 Ho 3.32-3.53
Ho 0.1491 0.4195 0.1491  6 Ho 3.32-3.53
Ho 0.2550 0.0000 0.7450  6 Ho 3.32-3.52, 4 Y 3.44-3.57
Ho 0.2550 0.7450 0.0000  6 Ho 3.32-3.52, 4 Y 3.44-3.57
Ho 0.4195 0.1491 0.1491  6 Ho 3.32-3.53
Ho 0.5805 0.8509 0.8509  6 Ho 3.32-3.53
Ho 0.7450 0.0000 0.2550  6 Ho 3.32-3.52, 4 Y 3.44-3.57
Ho 0.7450 0.2550 0.0000  6 Ho 3.32-3.52, 4 Y 3.44-3.57
Ho 0.8509 0.5805 0.8509  6 Ho 3.32-3.53
Ho 0.8509 0.8509 0.5805  6 Ho 3.32-3.53
Zr 0.5000 0.5000 0.5000  6 Y 3.30

- D(E_F): 35.4 states/eV/f.u.
- Total DFT energy (no corrections): -97.53 eV per cell

[6]
A plane-wave DFT calculation with PBE-GGA was carried out for a geometry-optimized CePrCd2 structure.

a = 4.8380 Å, b = 4.8380 Å, c = 4.7041 Å
α = 90.00°, β = 90.00°, γ = 90.00°
Last column: nearest neighbours and their distance in Å.
Atoms (fractional coordinates):
Ce 0.0000 0.0000 0.0000  8 Cd 3.37, 4 Pr 3.42
Pr 0.5000 0.5000 0.0000  8 Cd 3.37, 4 Ce 3.42
Cd 0.0000 0.5000 0.5000  4 Pr 3.37, 4 Ce 3.37, 4 Cd 3.42
Cd 0.5000 0.0000 0.5000  4 Pr 3.37, 4 Ce 3.37, 4 Cd 3.42

- Polymorph energy (0 for the lowest one): 0.065 eV per formula unit
- D(E_F): 8.6 states/eV/f.u.
- Total DFT energy (no corrections): -13.34 eV per cell

Which formula does entry 2 have?
Rb2LaTlF6